VASP calculation (PBE-GGA) on RbZn2PbBr8 after structural relaxation.

Cell: 11.1603 11.1603 11.1603 Å, 35.73 35.73 35.73°
Fractional positions:
Rb  0.0000  0.0000  0.0000
Zn  0.2530  0.2530  0.2530
Zn  0.7470  0.7470  0.7470
Pb  0.5000  0.5000  0.5000
Br  0.1017  0.4242  0.7870
Br  0.2130  0.5758  0.8983
Br  0.3299  0.3299  0.3299
Br  0.4242  0.7870  0.1017
Br  0.5758  0.8983  0.2130
Br  0.6701  0.6701  0.6701
Br  0.7870  0.1017  0.4242
Br  0.8983  0.2130  0.5758

The total energy is -2.60 eV per atom. Its space group is R32 (155). Its formation energy from raw total energies is -0.88 eV per atom. Its density of states at the Fermi level is 20.08 states/eV/f.u.


VASP calculation (PBE-GGA) on Ni2AgGe2 after structural relaxation.

Cell: 5.8110 5.8110 5.8110 Å, 140.86 140.86 56.55°
Fractional positions:
Ni  0.2500  0.7500  0.5000
Ni  0.7500  0.2500  0.5000
Ag  0.0000  0.0000  0.0000
Ge  0.3813  0.3813  0.0000
Ge  0.6187  0.6187  0.0000

The total energy is -4.75 eV per atom. The value obtained for the formation energy from the elements is -0.017 eV/atom. The calculation puts the offset from the most stable computed form at 53 meV/atom. Its space group is I4/mmm (139). Its density of states at the Fermi level is 1.96 states/eV/f.u.


VASP calculation (PBE-GGA) on Sr3LiU3S8 after structural relaxation.

Cell: 8.2816 8.2816 8.2816 Å, 57.25 57.25 57.25°
Fractional positions:
Sr  0.0000  0.5000  0.5000
Sr  0.5000  0.0000  0.5000
Sr  0.5000  0.5000  0.0000
Li  0.5000  0.5000  0.5000
U  0.0000  0.0000  0.5000
U  0.0000  0.5000  0.0000
U  0.5000  0.0000  0.0000
S  0.2386  0.7410  0.7410
S  0.2443  0.2443  0.2443
S  0.2590  0.2590  0.7614
S  0.2590  0.7614  0.2590
S  0.7410  0.2386  0.7410
S  0.7410  0.7410  0.2386
S  0.7557  0.7557  0.7557
S  0.7614  0.2590  0.2590

The total energy is -6.52 eV per atom. Its space group is R-3m (166). Its formation energy from raw total energies is -1.60 eV per atom. Its density of states at the Fermi level is 12.08 states/eV/f.u.


- Which formula does entry 3 have?
  Sr3LiU3S8